Density functional theory data (PBE) for an optimized crystal structure of Sr2CdRu.

extended XYZ file:
```
4
Lattice="4.625 0.000 0.000 0.000 4.544 0.006 0.000 2.263 5.837" Properties=species:S:1:pos:R:3 pbc="T T T"
Cd 0.000 4.255 2.942
Sr 0.000 6.524 5.307
Sr 2.312 1.984 2.001
Ru 2.312 4.254 4.356
```

Values from the calculation:
The calculation puts the energy of formation from the pure elements at 0.56 eV per formula unit. The space group is No. 38. The value obtained for the final energy is -3.25 eV/atom.